No. 1
Entry from OQMD via LeMat-Bulk: crystalline PaBeGa at its relaxed geometry (PBE).

## Properties
**E above lowest polymorph**: 1451 meV/atom

Cell: 4.0349 4.0349 5.5986 Å, 90.00 90.00 90.00°
Space group P4/mmm (No. 123)
One atom of each set of equivalent atoms:
Pa  0.0000  0.0000  0.0000
Be  0.0000  0.0000  0.5000
Ga  0.5000  0.5000  0.0000

***

No. 2
Entry from OQMD via LeMat-Bulk: crystalline NaTb2ZnF11 at its relaxed geometry (PBE).

Cell: 9.1289 6.6903 7.1257 Å, 90.00 120.57 90.00°
Space group C2/m (No. 12)
One atom of each set of equivalent atoms:
Na  0.0000  0.0000  0.0000
Tb  0.1173  0.5000  0.2940
Zn  0.0000  0.0000  0.5000
F  0.0000  0.3120  0.0000
F  0.0000  0.5000  0.5000
F  0.1177  0.1809  0.4047
F  0.1700  0.5000  0.8146
F  0.1859  0.0000  0.8044

***

No. 3
Entry from OQMD via LeMat-Bulk: crystalline ErPaAl at its relaxed geometry (PBE).

## Properties
**E above lowest polymorph**: 0 meV/atom

Cell: 5.1615 5.1615 9.3764 Å, 90.00 90.00 120.00°
Space group P3m1 (No. 156)
One atom of each set of equivalent atoms:
Er  0.0000  0.0000  0.0000
Er  0.0000  0.0000  0.3605
Er  0.6667  0.3333  0.6812
Pa  0.3333  0.6667  0.1804
Pa  0.3333  0.6667  0.5175
Pa  0.3333  0.6667  0.8441
Al  0.0000  0.0000  0.6805
Al  0.6667  0.3333  0.0264
Al  0.6667  0.3333  0.3366

***

No. 4
Entry from OQMD via LeMat-Bulk: crystalline FeC8 at its relaxed geometry (PBE).

## Properties
**E above lowest polymorph**: 217 meV/atom

Cell: 4.9320 4.9320 5.8501 Å, 90.00 90.00 120.00°
Space group P6/mmm (No. 191)
One atom of each set of equivalent atoms:
Fe  0.0000  0.0000  0.0000
C  0.1669  0.3338  0.5000
C  0.3333  0.6667  0.5000

***

No. 5
Entry from OQMD via LeMat-Bulk: crystalline CuAg4 at its relaxed geometry (PBE).

## Properties
**E above lowest polymorph**: 29 meV/atom
**Energy relative to the elements**: 0.053 eV/atom

Cell: 2.9086 2.9086 68.7596 Å, 90.00 90.00 120.00°
Space group R-3m (No. 166, hexagonal axes)
One atom of each set of equivalent atoms:
Cu  0.0000  0.0000  0.0485
Ag  0.0000  0.0000  0.1492
Ag  0.0000  0.0000  0.2540
Ag  0.0000  0.0000  0.3510
Ag  0.0000  0.0000  0.4476

***

No. 6
Entry from OQMD via LeMat-Bulk: crystalline SmH10S3N3O11 at its relaxed geometry (PBE).

Cell: 7.6395 8.7603 9.0093 Å, 118.01 94.40 92.10°
Space group P-1 (No. 2)
One atom of each set of equivalent atoms:
Sm  0.2253  0.3727  0.2105
H  0.1240  0.2379  0.6203
H  0.1257  0.9809  0.3317
H  0.1900  0.4494  0.7568
H  0.2821  0.0176  0.1395
H  0.3043  0.0160  0.9582
H  0.3243  0.3154  0.8693
H  0.3275  0.9003  0.3306
H  0.3858  0.7849  0.7751
H  0.4044  0.9053  0.6779
H  0.4890  0.6605  0.0165
S  0.1377  0.7699  0.6231
S  0.1402  0.7266  0.1051
S  0.3931  0.3203  0.5854
N  0.2237  0.9155  0.2591
N  0.2283  0.3253  0.6953
N  0.3236  0.8703  0.7450
O  0.0297  0.2346  0.9495
O  0.0327  0.7416  0.7386
O  0.0676  0.8898  0.5677
O  0.1181  0.6037  0.1726
O  0.1747  0.6042  0.4828
O  0.2655  0.6731  0.9788
O  0.3118  0.0893  0.0838
O  0.3229  0.2851  0.4156
O  0.3816  0.3345  0.9812
O  0.4837  0.4949  0.6844
O  0.4968  0.1810  0.5772

***

No. 7
Entry from OQMD via LeMat-Bulk: crystalline Ho2LuFe3Co6 at its relaxed geometry (PBE).

## Properties
**Energy relative to the elements**: -0.201 eV/atom

Cell: 5.0347 5.0347 23.5839 Å, 90.00 90.00 120.00°
Space group R-3m (No. 166, hexagonal axes)
One atom of each set of equivalent atoms:
Ho  0.0000  0.0000  0.1405
Lu  0.0000  0.0000  0.0000
Fe  0.0000  0.0000  0.3333
Fe  0.0000  0.0000  0.5000
Co  0.0012  0.5006  0.9184

***

No. 8
Entry from OQMD via LeMat-Bulk: crystalline Tm2Sc at its relaxed geometry (PBE).

## Properties
**E above lowest polymorph**: 2070 meV/atom
**Energy relative to the elements**: 2.406 eV/atom

Cell: 13.3580 13.3580 13.3580 Å, 90.00 90.00 90.00°
Space group Fd-3m (No. 227, origin choice 2)
One atom of each set of equivalent atoms:
Tm  0.0000  0.0000  0.0000
Sc  0.1250  0.1250  0.1250

***

No. 9
Entry from OQMD via LeMat-Bulk: crystalline Y3Mg3CuIrPd at its relaxed geometry (PBE).

Cell: 7.4666 7.4666 3.9589 Å, 90.00 90.00 120.00°
Space group P-6 (No. 174)
One atom of each set of equivalent atoms:
Y  0.0133  0.5924  0.0000
Mg  0.0005  0.2462  0.5000
Cu  0.0000  0.0000  0.0000
Ir  0.3333  0.6667  0.5000
Pd  0.6667  0.3333  0.5000

***

No. 10
Entry from OQMD via LeMat-Bulk: crystalline CuSbPb at its relaxed geometry (PBE).

## Properties
**E above lowest polymorph**: 25 meV/atom

Cell: 8.3275 4.6225 7.5564 Å, 90.00 90.00 90.00°
Space group Pnma (No. 62)
One atom of each set of equivalent atoms:
Cu  0.1677  0.2500  0.0805
Sb  0.1956  0.7500  0.9055
Pb  0.0254  0.7500  0.3017

***

No. 11
Entry from OQMD via LeMat-Bulk: crystalline Pr2Ga5Pt3 at its relaxed geometry (PBE).

Cell: 10.4108 12.6227 5.9172 Å, 90.00 90.00 90.00°
Space group Ibam (No. 72)
One atom of each set of equivalent atoms:
Pr  0.2275  0.1342  0.0000
Ga  0.0000  0.0000  0.2500
Ga  0.0000  0.2832  0.2500
Ga  0.1594  0.3980  0.0000
Pt  0.0000  0.5000  0.2500
Pt  0.1057  0.1415  0.5000

***

No. 12
Entry from OQMD via LeMat-Bulk: crystalline NdMg at its relaxed geometry (PBE).

## Properties
**E above lowest polymorph**: 120 meV/atom

Cell: 5.6028 10.5864 5.9697 Å, 90.00 90.00 90.00°
Space group Pmc2_1 (No. 26)
One atom of each set of equivalent atoms:
Nd  0.0000  0.0682  0.0000
Nd  0.0000  0.2704  0.5405
Nd  0.5000  0.2546  0.1608
Mg  0.0000  0.4187  0.0219
Mg  0.5000  0.0883  0.6575
Mg  0.5000  0.4280  0.6929

***

No. 13
Entry from OQMD via LeMat-Bulk: crystalline Er2Sn2O5 at its relaxed geometry (PBE).

## Properties
**E above lowest polymorph**: 0 meV/atom

Cell: 3.7402 3.7402 9.3583 Å, 90.00 90.00 90.00°
Space group P4/mmm (No. 123)
One atom of each set of equivalent atoms:
Er  0.0000  0.0000  0.2449
Sn  0.5000  0.5000  0.0000
Sn  0.5000  0.5000  0.5000
O  0.0000  0.0000  0.0000
O  0.0000  0.5000  0.3645

***

No. 14
Entry from OQMD via LeMat-Bulk: crystalline Pr3Si2Cl3O7 at its relaxed geometry (PBE).

Cell: 5.3137 12.0855 7.8474 Å, 90.00 108.86 90.00°
Space group P2_1 (No. 4)
One atom of each set of equivalent atoms:
Pr  0.0287  0.0000  0.4185
Pr  0.2932  0.0183  0.9699
Pr  0.4428  0.7418  0.2970
Si  0.2127  0.3330  0.9354
Si  0.3887  0.4452  0.3183
Cl  0.0115  0.2425  0.4881
Cl  0.1558  0.6191  0.9415
Cl  0.4585  0.1158  0.3335
O  0.0902  0.4838  0.3074
O  0.0978  0.8717  0.1211
O  0.2688  0.2057  0.8992
O  0.3505  0.4026  0.8063
O  0.3886  0.3713  0.1406
O  0.4165  0.0490  0.6959
O  0.4387  0.8844  0.4974

***

No. 15
Entry from OQMD via LeMat-Bulk: crystalline Cd3Pt at its relaxed geometry (PBE).

## Properties
**Energy relative to the elements**: -0.224 eV/atom

Cell: 3.9343 9.9245 8.5421 Å, 90.00 90.00 90.00°
Space group Cmcm (No. 63)
One atom of each set of equivalent atoms:
Cd  0.0000  0.0445  0.2500
Cd  0.0000  0.3609  0.0556
Pt  0.0000  0.2521  0.7500

***

No. 16
Entry from OQMD via LeMat-Bulk: crystalline ThOs at its relaxed geometry (PBE).

## Properties
**Energy relative to the elements**: 0.416 eV/atom

Cell: 3.3933 3.3933 4.5438 Å, 90.00 90.00 120.00°
Space group P-6m2 (No. 187)
One atom of each set of equivalent atoms:
Th  0.0000  0.0000  0.0000
Os  0.3333  0.6667  0.5000

***

No. 17
Entry from OQMD via LeMat-Bulk: crystalline KNiTe3Ir at its relaxed geometry (PBE).

Cell: 3.9969 15.5949 10.4366 Å, 90.00 90.00 90.00°
Space group Cmcm (No. 63)
One atom of each set of equivalent atoms:
K  0.0000  0.2409  0.2500
Ni  0.0000  0.4660  0.7500
Te  0.0000  0.0647  0.7500
Te  0.0000  0.3879  0.5418
Ir  0.0000  0.0000  0.0000

***

No. 18
Entry from OQMD via LeMat-Bulk: crystalline LaMgCuS3 at its relaxed geometry (PBE).

Cell: 3.7920 12.0619 10.9475 Å, 90.00 90.00 90.00°
Space group Cmcm (No. 63)
One atom of each set of equivalent atoms:
La  0.0000  0.0000  0.0000
Mg  0.0000  0.2363  0.2500
Cu  0.0000  0.4780  0.7500
S  0.0000  0.0964  0.7500
S  0.0000  0.3473  0.5955

***

No. 19
Entry from OQMD via LeMat-Bulk: crystalline CuH4C4IN2 at its relaxed geometry (PBE).

Cell: 4.1893 6.9236 11.0791 Å, 90.00 98.10 90.00°
Space group P2/c (No. 13)
One atom of each set of equivalent atoms:
Cu  0.0000  0.2107  0.2500
H  0.2374  0.1791  0.0039
H  0.2479  0.3971  0.8258
C  0.1294  0.3225  0.0026
C  0.1359  0.4448  0.9038
I  0.5000  0.0161  0.7500
N  0.0066  0.3761  0.3991

***

no.,final energy (eV per cell)
1,-11.68
2,-151.30
3,-53.88
4,-77.33
5,-88.49
6,-324.24
7,-250.95
8,-64.47
9,-46.72
10,-45.30
11,-207.84
12,-37.77
13,-61.61
14,-218.71
15,-38.55
16,-17.81
17,-107.29
18,-121.54
19,-144.92